Entry from the Alexandria database: a geometry-optimized Mg2Tl2I structure (PBE).

Lattice parameters (Å, degrees): 8.7605 8.7605 3.7828 90.00 90.00 90.00
Element x y z (fractional)
Tl: 0.3678 0.1322 0.5000
Tl: 0.6322 0.8678 0.5000
Tl: 0.8678 0.3678 0.5000
Tl: 0.1322 0.6322 0.5000
Mg: 0.3311 0.8311 0.0000
Mg: 0.8311 0.6689 0.0000
Mg: 0.6689 0.1689 0.0000
Mg: 0.1689 0.3311 0.0000
I: 0.0000 0.0000 0.0000
I: 0.5000 0.5000 0.0000

Results
Energy relative to the elements, uncorrected: -0.55 eV/f.u.
Total moment: 0.00 Bohr magnetons per cell
Density of states at the Fermi level: 1.76 states/eV/f.u.

***

Entry from the Alexandria database: a geometry-optimized Be4W structure (PBE).

Lattice parameters (Å, degrees): 4.3014 4.3014 4.3014 90.00 90.00 90.00
Element x y z (fractional)
Be: 0.0000 0.0000 0.0000
Be: 0.5000 0.0000 0.5000
Be: 0.0000 0.5000 0.5000
Be: 0.5000 0.5000 0.0000
W: 0.5000 0.5000 0.5000

Results
Energy relative to the lowest polymorph listed for this composition: 1619 meV per atom
Total moment: 0.00 Bohr magnetons per cell
ΔH_f (0 K): 173.5 kJ per mole of atoms
Density of states at the Fermi level: 2.54 states/eV/f.u.

***

Entry from the Alexandria database: a geometry-optimized Al3Ag4 structure (PBE).

Lattice parameters (Å, degrees): 2.9249 16.3766 2.9249 84.88 120.00 95.12
Element x y z (fractional)
Al: 0.5714 0.7143 0.4286
Al: 0.2852 0.8555 0.7148
Al: 0.8577 0.5731 0.1423
Ag: 0.9970 0.9909 0.0030
Ag: 0.4295 0.2886 0.5705
Ag: 0.1459 0.4376 0.8541
Ag: 0.7133 0.1400 0.2867

Results
Energy relative to the lowest polymorph listed for this composition: 46 meV per atom
Total moment: 0.00 Bohr magnetons per cell
ΔH_f (0 K): -0.4 kJ per mole of atoms
Density of states at the Fermi level: 2.00 states/eV/f.u.

***

Entry from the Alexandria database: a geometry-optimized Zr4Ir structure (PBE).

Lattice parameters (Å, degrees): 8.5802 8.5802 8.5802 154.88 154.88 35.82
Element x y z (fractional)
Zr: 0.5834 0.5834 0.0000
Zr: 0.7500 0.2500 0.5000
Zr: 0.2500 0.7500 0.5000
Zr: 0.4166 0.4166 0.0000
Ir: 0.0000 0.0000 0.0000

Results
Energy relative to the lowest polymorph listed for this composition: 825 meV per atom
Total moment: 0.00 Bohr magnetons per cell
ΔH_f (0 K): 44.2 kJ per mole of atoms
Density of states at the Fermi level: 6.86 states/eV/f.u.

***

Entry from the Alexandria database: a geometry-optimized CsBaBi2 structure (PBE).

Lattice parameters (Å, degrees): 6.2652 6.2652 6.2652 60.00 60.00 60.00
Element x y z (fractional)
Bi: 0.2500 0.2500 0.2500
Bi: 0.7500 0.7500 0.7500
Ba: 0.5000 0.5000 0.5000
Cs: 0.0000 0.0000 0.0000

Results
Energy relative to the lowest polymorph listed for this composition: 269 meV per atom
Total moment: 0.00 Bohr magnetons per cell
ΔH_f (0 K): -32.6 kJ per mole of atoms
Density of states at the Fermi level: 3.89 states/eV/f.u.

***

Entry from the Alexandria database: a geometry-optimized RbRePt3 structure (PBE).

Lattice parameters (Å, degrees): 4.9565 4.9565 4.9565 90.00 90.00 90.00
Element x y z (fractional)
Re: 0.0000 0.0000 0.0000
Pt: 0.0000 0.0000 0.5000
Pt: 0.0000 0.5000 0.0000
Pt: 0.5000 0.0000 0.0000
Rb: 0.5000 0.5000 0.5000

Results
Energy relative to the lowest polymorph listed for this composition: 0 meV per atom
Total moment: 0.00 Bohr magnetons per cell
ΔH_f (0 K): 68.5 kJ per mole of atoms
Density of states at the Fermi level: 4.41 states/eV/f.u.

***

Entry from the Alexandria database: a geometry-optimized KMgHC2O10 structure (PBE).

Lattice parameters (Å, degrees): 4.9253 7.9104 5.2708 73.75 72.42 84.74
Element x y z (fractional)
C: 0.6776 0.1719 0.8837
C: 0.3224 0.8281 0.1163
O: 0.1977 0.9052 0.9145
O: 0.8023 0.0948 0.0855
O: 0.4562 0.6853 0.1021
O: 0.7506 0.6215 0.4624
O: 0.2874 0.9026 0.3108
O: 0.7126 0.0974 0.6892
O: 0.2488 0.2518 0.4397
O: 0.5438 0.3147 0.8979
O: 0.2494 0.3785 0.5376
O: 0.7512 0.7482 0.5603
H: 0.0000 0.0000 0.0000
Mg: 0.5000 0.0000 0.5000
K: 0.0000 0.5000 0.0000

Results
Total moment: 4.02 Bohr magnetons per cell
Calculated total energy: -6.085 eV/atom

***

Entry from the Alexandria database: a geometry-optimized Er3BiSbS structure (PBE).

Lattice parameters (Å, degrees): 4.4187 8.7475 9.5623 98.42 90.00 90.00
Element x y z (fractional)
Bi: 0.7500 0.8337 0.7903
Bi: 0.2500 0.1663 0.2097
Er: 0.2500 0.5965 0.8603
Er: 0.7500 0.1931 0.4855
Er: 0.2500 0.8069 0.5145
Er: 0.7500 0.4035 0.1397
Er: 0.7500 0.8893 0.1307
Er: 0.2500 0.1107 0.8693
Sb: 0.2500 0.6496 0.1775
Sb: 0.7500 0.3504 0.8225
S: 0.7500 0.8900 0.4059
S: 0.2500 0.1100 0.5941

Results
Energy relative to the elements, uncorrected: -6.28 eV/f.u.
Total moment: 0.00 Bohr magnetons per cell
Density of states at the Fermi level: 2.89 states/eV/f.u.

***

Entry from the Alexandria database: a geometry-optimized BaFeSi4 structure (PBE).

Lattice parameters (Å, degrees): 5.4453 5.4453 5.4453 60.00 60.00 60.00
Element x y z (fractional)
Ba: 0.7500 0.7500 0.7500
Fe: 0.0000 0.0000 0.0000
Si: 0.3698 0.8906 0.3698
Si: 0.8906 0.3698 0.3698
Si: 0.3698 0.3698 0.3698
Si: 0.3698 0.3698 0.8906

Results
Energy relative to the elements, uncorrected: 2.87 eV/f.u.
Total moment: 3.56 Bohr magnetons per cell
Density of states at the Fermi level: 5.66 states/eV/f.u.

***

Entry from the Alexandria database: a geometry-optimized TaAlNi2 structure (PBE).

Lattice parameters (Å, degrees): 4.2323 4.2323 4.2323 60.00 60.00 60.00
Element x y z (fractional)
Ni: 0.0000 0.0000 0.0000
Ni: 0.2500 0.2500 0.2500
Ta: 0.7500 0.7500 0.7500
Al: 0.5000 0.5000 0.5000

Results
Total moment: 0.00 Bohr magnetons per cell
ΔH_f (0 K): -19.6 kJ per mole of atoms
Density of states at the Fermi level: 1.47 states/eV/f.u.

***

Entry from the Alexandria database: a geometry-optimized TaCo2BiH structure (PBE).

Lattice parameters (Å, degrees): 4.8460 3.4262 4.8460 90.00 90.00 90.00
Element x y z (fractional)
Ta: 0.5000 0.5000 0.5000
Bi: 0.0000 0.0000 0.0000
H: 0.0000 0.5000 0.0000
Co: 0.0000 0.0000 0.5000
Co: 0.5000 0.0000 0.0000

Results
Total moment: 1.39 Bohr magnetons per cell
Density of states at the Fermi level: 5.27 states/eV/f.u.
Calculated total energy: -5.381 eV/atom

***

Entry from the Alexandria database: a geometry-optimized CaVAs3 structure (PBE).

Lattice parameters (Å, degrees): 4.8133 4.8133 4.8133 90.00 90.00 90.00
Element x y z (fractional)
V: 0.0000 0.0000 0.0000
As: 0.0000 0.0000 0.5000
As: 0.5000 0.0000 0.0000
As: 0.0000 0.5000 0.0000
Ca: 0.5000 0.5000 0.5000

Results
Total moment: 0.00 Bohr magnetons per cell
ΔH_f (0 K): -33.5 kJ per mole of atoms
Density of states at the Fermi level: 1.84 states/eV/f.u.